1.
DFT (PBE) results for crystalline ThZnPd6 at its relaxed geometry.

Energy relative to the elements   -0.25 eV/atom
Total moment   0.00 μB/cell
Polymorph energy (0 for the lowest one)   0.405 eV per atom

abc: 5.4490 5.4490 19.9225
angles: 90.00 90.00 120.00
Space group R-3m (No. 166, hexagonal axes)
Asymmetric unit:
Th  0.0000  0.0000  0.0000 x3
Zn  0.0000  0.0000  0.5000 x3
Pd  0.0054  0.5027  0.9311 x18

2.
DFT (PBE) results for crystalline ThZn2Pd4 at its relaxed geometry.

Energy relative to the elements   -0.69 eV/atom
Total moment   0.00 μB/cell

abc: 8.673 6.644 5.391
angles: 90.00 128.35 90.00
Space group C2/m (No. 12)
Asymmetric unit:
Th  0.000  0.000  0.000 x2
Zn  0.001  0.500  0.753 x4
Pd  0.202  0.205  0.702 x8

3.
DFT (PBE) results for crystalline ThZn4Pd at its relaxed geometry.

Energy relative to the elements   -0.34 eV/atom
Total moment   0.00 μB/cell
Polymorph energy (0 for the lowest one)   0.000 eV per atom

abc: 4.323 15.566 6.655
angles: 90.00 90.00 90.00
Space group Cmcm (No. 63)
Asymmetric unit:
Th  0.000  0.130  0.250 x4
Zn  0.000  0.067  0.750 x4
Zn  0.000  0.331  0.062 x8
Zn  0.000  0.500  0.000 x4
Pd  0.000  0.230  0.750 x4

4.
DFT (PBE) results for crystalline Th2Zn3Pd2 at its relaxed geometry.

Energy relative to the elements   -0.57 eV/atom
Total moment   0.00 μB/cell

abc: 10.029 4.471 6.841
angles: 90.00 112.30 90.00
Space group C2/m (No. 12)
Asymmetric unit:
Th  0.148  0.000  0.267 x4
Zn  0.000  0.500  0.500 x2
Zn  0.110  0.500  0.926 x4
Pd  0.142  0.000  0.717 x4

5.
DFT (PBE) results for crystalline ThZn4Pd at its relaxed geometry.

Energy relative to the elements   -0.22 eV/atom
Total moment   0.00 μB/cell
Polymorph energy (0 for the lowest one)   0.118 eV per atom

abc: 7.563 7.563 7.563
angles: 90.00 90.00 90.00
Space group F-43m (No. 216)
Asymmetric unit:
Th  0.000  0.000  0.000 x4
Zn  0.124  0.124  0.376 x16
Pd  0.250  0.250  0.750 x4

6.
DFT (PBE) results for crystalline ThZn10Pd2 at its relaxed geometry.

Energy relative to the elements   -0.27 eV/atom
Total moment   0.00 μB/cell

abc: 5.408 12.583 12.595
angles: 90.00 90.00 90.00
Space group Fmmm (No. 69)
Asymmetric unit:
Th  0.000  0.000  0.000 x4
Zn  0.000  0.109  0.391 x16
Zn  0.000  0.174  0.179 x16
Zn  0.250  0.250  0.000 x8
Pd  0.250  0.000  0.250 x8

7.
DFT (PBE) results for crystalline ThZnPd2 at its relaxed geometry.

Energy relative to the elements   -0.57 eV/atom
Total moment   0.00 μB/cell

abc: 3.365 3.365 6.765
angles: 90.00 90.00 90.00
Space group P4/mmm (No. 123)
Asymmetric unit:
Th  0.000  0.000  0.000 x1
Zn  0.000  0.000  0.500 x1
Pd  0.500  0.500  0.295 x2

8.
DFT (PBE) results for crystalline Th2Zn2Pd3 at its relaxed geometry.

Energy relative to the elements   -0.68 eV/atom
Total moment   0.00 μB/cell

abc: 4.022 19.169 7.527
angles: 90.00 90.00 90.00
Space group Cmcm (No. 63)
Asymmetric unit:
Th  0.000  0.064  0.250 x4
Th  0.000  0.151  0.750 x4
Zn  0.000  0.306  0.559 x8
Pd  0.000  0.231  0.250 x4
Pd  0.000  0.434  0.055 x8

9.
DFT (PBE) results for crystalline ThZnPd6 at its relaxed geometry.

Energy relative to the elements   -0.66 eV/atom
Total moment   0.00 μB/cell
Polymorph energy (0 for the lowest one)   0.000 eV per atom

abc: 4.187 4.187 7.717
angles: 90.00 90.00 90.00
Space group P4/mmm (No. 123)
Asymmetric unit:
Th  0.000  0.000  0.000 x1
Zn  0.000  0.000  0.500 x1
Pd  0.000  0.500  0.268 x4
Pd  0.500  0.500  0.000 x1
Pd  0.500  0.500  0.500 x1

10.
DFT (PBE) results for crystalline ThZn3Pd2 at its relaxed geometry.

Energy relative to the elements   -0.50 eV/atom
Total moment   0.00 μB/cell

abc: 14.411 4.172 8.196
angles: 90.00 116.76 90.00
Space group C2/m (No. 12)
Asymmetric unit:
Th  0.136  0.000  0.022 x4
Zn  0.057  0.000  0.403 x4
Zn  0.091  0.500  0.682 x4
Zn  0.202  0.500  0.512 x4
Pd  0.045  0.500  0.188 x4
Pd  0.223  0.000  0.738 x4

11.
DFT (PBE) results for crystalline Th3Zn2Pd6 at its relaxed geometry.

Energy relative to the elements   -0.73 eV/atom
Total moment   0.00 μB/cell

abc: 9.570 9.570 9.570
angles: 90.00 90.00 90.00
Space group Im-3m (No. 229)
Asymmetric unit:
Th  0.000  0.000  0.286 x12
Zn  0.250  0.250  0.250 x8
Pd  0.000  0.339  0.339 x24

12.
DFT (PBE) results for crystalline ThZn8Pd4 at its relaxed geometry.

Energy relative to the elements   -0.41 eV/atom
Total moment   0.00 μB/cell

abc: 8.865 8.865 5.454
angles: 90.00 90.00 90.00
Space group I4/mmm (No. 139)
Asymmetric unit:
Th  0.000  0.000  0.000 x2
Zn  0.000  0.217  0.500 x8
Zn  0.000  0.352  0.000 x8
Pd  0.250  0.250  0.250 x8